DFT (PBE-GGA) results for a relaxed InSiAs crystal.

Summary:
- Formation energy without anion corrections: -0.011 eV/atom
- Final energy: -0.157 Ha/atom
- Calculated volume: 25.9 Å³ per atom
- Total magnetic moment: 0.0 μB/cell
- E above lowest polymorph: 0.16 eV per formula unit

```
InSiAs
1.0
2.936 -6.749 0.000
2.936 6.749 0.000
-1.119 0.000 3.917
In Si As
2 2 2
Cartesian
2.376 4.671 1.958
2.936 -4.671 0.000
2.006 0.641 0.913
1.447 -0.641 2.871
3.661 2.264 1.511
3.101 -2.264 3.469
```